11
Lattice="-2.8594 4.2832 2.0269 -1.9949 -2.1860 -4.6768 -0.1830 -4.1591 3.6446" Properties=species:S:1:pos:R:3 comment="LiV2OF7 meta-GGA SCAN single point on PBEsol structure" magnetic_moment_mub_per_cell=2.00 volume_a3_per_atom=11.7 e_form_raw_kj_per_mol_atoms=-287.8 pbc="T T T"
Li -1.2258 -1.4218 1.1201
V -1.4049 2.0548 0.9484
V -3.8680 3.1190 -0.3963
O -2.5484 -1.6480 -3.2370
F -1.9628 -3.5728 0.7680
F -2.4016 -0.3579 4.1162
F -3.0319 1.4374 0.0908
F -2.3304 2.2373 2.4711
F -1.7010 -1.0825 -0.7731
F -3.0601 -1.0303 1.7561
F -0.8289 -1.9943 2.9742



6
Lattice="-5.6450 0.0578 2.3554 -2.2424 -5.0143 2.6918 -0.7848 -0.1242 6.0651" Properties=species:S:1:pos:R:3 comment="BaTl4Ir meta-GGA SCAN single point on PBEsol structure" magnetic_moment_mub_per_cell=0.00 ef_ev_per_atom=0.39 volume_a3_per_atom=27.0 pbc="T T T"
Ba -6.5041 -3.8105 8.3342
Ir 0.0000 0.0000 0.0000
Tl -3.2395 -1.8979 4.1511
Tl -3.6365 -1.9607 7.2186
Tl -6.0946 -1.8687 5.3423
Tl -4.3737 -4.4340 5.5125



6
Lattice="5.9178 0.0000 0.0000 2.9589 5.1250 0.0000 2.9589 1.7083 4.8319" Properties=species:S:1:pos:R:3 comment="YPBr4 meta-GGA SCAN single point on PBEsol structure" magnetic_moment_mub_per_cell=0.54 volume_a3_per_atom=24.4 e_form_raw_kj_per_mol_atoms=31.9 pbc="T T T"
Br 4.4410 2.5640 1.8130
Br 5.9179 3.4167 4.2248
Br 7.3948 2.5640 1.8130
Br 5.9179 5.1221 1.8130
P 8.8768 5.1250 3.6239
Y 0.0000 0.0000 0.0000



4
Lattice="3.8949 0.0000 0.0000 0.0000 3.8949 0.0000 -1.9475 -1.9475 4.0127" Properties=species:S:1:pos:R:3 comment="OsW2Au meta-GGA SCAN single point on PBEsol structure" magnetic_moment_mub_per_cell=0.00 ef_ev_per_atom=0.22 de_polymorph_ev_per_atom=0.040 volume_a3_per_atom=15.2 pbc="T T T"
Au 1.9475 1.9475 0.0000
Os 0.0000 0.0000 0.0000
W 1.9475 0.0000 2.0063
W 0.0000 1.9475 2.0063



5
Lattice="4.8805 0.0000 0.0000 0.0000 4.8805 0.0000 0.0000 0.0000 4.8805" Properties=species:S:1:pos:R:3 comment="KNb3Br meta-GGA SCAN single point on PBEsol structure" magnetic_moment_mub_per_cell=2.20 volume_a3_per_atom=23.2 e_form_raw_kj_per_mol_atoms=143.3 pbc="T T T"
Nb 0.0000 2.4402 0.0000
Nb 0.0000 0.0000 2.4402
Nb 2.4402 0.0000 0.0000
K 2.4402 2.4402 2.4402
Br 0.0000 0.0000 0.0000



4
Lattice="-2.3846 0.8077 1.8768 -2.8582 0.4773 -1.2098 -3.8527 -8.8437 1.5379" Properties=species:S:1:pos:R:3 comment="ScTl2Mo meta-GGA SCAN single point on PBEsol structure" magnetic_moment_mub_per_cell=0.00 ef_ev_per_atom=0.34 de_polymorph_ev_per_atom=0.137 volume_a3_per_atom=20.5 pbc="T T T"
Mo -4.5478 -3.7794 1.1024
Sc 0.0000 0.0000 0.0000
Tl -2.2975 -1.9936 0.5660
Tl -6.7981 -5.5651 1.6389



4
Lattice="3.9334 0.0000 0.0000 0.0000 4.8745 0.0000 -1.9667 -2.4373 5.0080" Properties=species:S:1:pos:R:3 comment="CaPtPb2 meta-GGA SCAN single point on PBEsol structure" magnetic_moment_mub_per_cell=0.00 ef_ev_per_atom=-0.39 volume_a3_per_atom=24.0 pbc="T T T"
Pb 0.0000 0.0000 0.0317
Pb 1.9667 0.0000 2.8543
Ca 0.0000 2.4373 2.2105
Pt 0.0000 0.0000 4.9194



4
Lattice="4.3198 0.0000 0.0000 2.1599 3.7410 0.0000 2.1599 1.2470 5.7942" Properties=species:S:1:pos:R:3 comment="SrSbOs2 meta-GGA SCAN single point on PBEsol structure" magnetic_moment_mub_per_cell=0.00 volume_a3_per_atom=23.4 e_form_raw_kj_per_mol_atoms=-6.0 pbc="T T T"
Os 2.1599 1.2470 4.8345
Os 6.4797 3.7410 4.7777
Sb 4.3198 2.4940 3.5103
Sr 2.1599 1.2470 1.2592



5
Lattice="-2.8428 2.7657 1.9345 -3.0017 -0.9153 -3.1023 -1.8167 -3.9023 2.9092" Properties=species:S:1:pos:R:3 comment="NbBiPW2 meta-GGA SCAN single point on PBEsol structure" magnetic_moment_mub_per_cell=0.00 ef_ev_per_atom=1.40 volume_a3_per_atom=20.2 pbc="T T T"
P 0.0000 0.0000 0.0000
Nb -3.8306 -1.0260 0.8707
Bi -0.9084 -1.9511 1.4546
W -1.5009 -0.4577 -1.5512
W -1.4214 1.3828 0.9673



8
Lattice="4.8907 0.0000 0.0000 0.0000 4.8907 0.0000 -2.4454 -2.4454 7.6368" Properties=species:S:1:pos:R:3 comment="BaCaC2 meta-GGA SCAN single point on PBEsol structure" magnetic_moment_mub_per_cell=2.20 ef_ev_per_atom=1.49 volume_a3_per_atom=22.8 pbc="T T T"
C 1.8173 3.6681 1.9092
C 3.0735 1.2227 1.9092
C -1.2227 -0.6281 5.7276
C 1.2227 0.6281 5.7276
Ca 2.4454 0.0000 3.8184
Ca 2.4454 2.4454 0.0000
Ba 0.0000 2.4454 3.8184
Ba 0.0000 0.0000 0.0000



4
Lattice="4.1455 0.0000 0.0000 0.0000 4.1455 0.0000 -2.0727 -2.0727 4.2440" Properties=species:S:1:pos:R:3 comment="ZnAg2Sb meta-GGA SCAN single point on PBEsol structure" magnetic_moment_mub_per_cell=0.00 de_polymorph_ev_per_atom=0.032 volume_a3_per_atom=18.2 e_form_raw_kj_per_mol_atoms=11.6 pbc="T T T"
Ag 2.0727 0.0000 2.1220
Ag 0.0000 2.0727 2.1220
Sb 2.0727 2.0727 0.0000
Zn 0.0000 0.0000 0.0000



8
Lattice="-2.5175 -2.3796 3.9687 3.9568 -3.4496 0.4416 1.9433 6.4572 1.6081" Properties=species:S:1:pos:R:3 comment="NaPt2C meta-GGA SCAN single point on PBEsol structure" magnetic_moment_mub_per_cell=0.00 ef_ev_per_atom=0.22 de_polymorph_ev_per_atom=0.000 volume_a3_per_atom=20.3 pbc="T T T"
Na 0.0000 0.0000 0.0000
Na 3.3099 0.0465 2.1274
C 0.7197 -2.9146 2.2051
C 0.0727 0.5815 3.8910
Pt 1.3678 2.0621 3.8521
Pt 2.6266 3.2519 1.8678
Pt 2.3746 -2.8913 3.2689
Pt 0.3962 -1.1665 3.0481



4
Lattice="3.0704 0.0000 0.0199 0.0000 5.1330 0.0000 -0.0802 0.0000 6.0200" Properties=species:S:1:pos:R:3 comment="Sr2CrW meta-GGA SCAN single point on PBEsol structure" magnetic_moment_mub_per_cell=3.19 ef_ev_per_atom=1.33 volume_a3_per_atom=23.7 pbc="T T T"
Cr 1.4951 2.5665 3.0199
Sr 3.0040 0.0000 4.5599
Sr -0.0138 0.0000 1.4799
W 1.5352 2.5665 0.0099



4
Lattice="3.2886 0.0000 0.0000 1.6443 2.8480 0.0000 1.6443 0.9493 8.7469" Properties=species:S:1:pos:R:3 comment="NbSiSe2 meta-GGA SCAN single point on PBEsol structure" magnetic_moment_mub_per_cell=0.00 volume_a3_per_atom=20.5 e_form_raw_kj_per_mol_atoms=-19.6 pbc="T T T"
Nb 3.2886 1.8987 4.3734
Si 0.0000 0.0000 0.0000
Se 4.9329 2.8480 2.6220
Se 1.6443 0.9493 6.1249



4
Lattice="3.9475 0.0000 0.0000 0.0000 4.5364 0.0236 0.0000 -2.2154 5.1676" Properties=species:S:1:pos:R:3 comment="La2FeTc meta-GGA SCAN single point on PBEsol structure" magnetic_moment_mub_per_cell=0.00 ef_ev_per_atom=0.18 de_polymorph_ev_per_atom=0.071 volume_a3_per_atom=23.2 pbc="T T T"
Fe 1.9737 -0.0720 3.7498
La 0.0000 2.0360 4.7723
La 1.9737 1.9738 1.6753
Tc 0.0000 -0.4036 2.7690



5
Lattice="-2.9843 0.7023 2.5343 0.8240 -3.3904 1.9099 2.4973 1.9579 2.3982" Properties=species:S:1:pos:R:3 comment="NaNbO3 meta-GGA SCAN single point on PBEsol structure" magnetic_moment_mub_per_cell=0.00 volume_a3_per_atom=12.6 e_form_raw_kj_per_mol_atoms=-249.9 pbc="T T T"
Na 0.1686 -0.3651 3.4212
Nb 0.0000 0.0000 0.0000
O 0.4120 -1.6952 0.9549
O 1.2487 0.9790 1.1991
O -1.4921 0.3511 1.2671



8
Lattice="-1.3941 3.8261 -3.6150 3.0454 -4.2464 -1.5677 -2.1341 -3.8293 -3.2299" Properties=species:S:1:pos:R:3 comment="KFeN2 meta-GGA SCAN single point on PBEsol structure" magnetic_moment_mub_per_cell=0.00 de_polymorph_ev_per_atom=0.000 volume_a3_per_atom=14.3 e_form_raw_kj_per_mol_atoms=-8.8 pbc="T T T"
K 0.6406 -2.1240 -2.4951
K -1.7641 -0.0016 -3.4225
Fe -1.1234 -2.1256 -5.9175
Fe 0.0000 0.0000 0.0000
N -0.6979 -3.4765 -6.8922
N 0.1587 -0.9841 -5.8230
N -1.4676 -2.6884 -4.3299
N -2.4869 -1.3535 -6.6251



21
Lattice="7.3753 -0.0054 -0.0038 3.6163 6.4279 -0.0038 3.6163 2.1130 6.0706" Properties=species:S:1:pos:R:3 comment="GaSb3Pb4O13 meta-GGA SCAN single point on PBEsol structure" magnetic_moment_mub_per_cell=0.00 volume_a3_per_atom=13.7 e_form_raw_kj_per_mol_atoms=-148.6 pbc="T T T"
Ga 7.2932 4.2615 3.0270
Sb 3.6215 4.2686 3.0321
Sb 5.4968 3.2118 0.0017
Sb 5.4968 1.0593 3.0321
Pb 14.5693 8.5130 6.0470
Pb 10.9523 8.5222 6.0535
Pb 12.8015 7.4801 3.0653
Pb 12.8015 5.3574 6.0535
O 9.1760 3.6362 2.5829
O 9.0893 7.0340 4.9964
O 7.6728 4.4833 5.0120
O 10.5903 6.1881 2.5708
O 10.5903 4.4651 4.9964
O 7.6728 6.2088 2.5829
O 5.4379 4.8789 3.4656
O 5.5215 1.5233 1.0820
O 6.9202 4.0436 1.0702
O 4.0379 2.3594 3.4795
O 4.0379 4.0624 1.0820
O 6.9202 2.3421 3.4656
O 1.8114 1.0584 0.7518



4
Lattice="3.6531 0.0000 0.0000 0.0000 3.7813 0.0299 0.0000 -0.0282 3.7813" Properties=species:S:1:pos:R:3 comment="BeAlSi2 meta-GGA SCAN single point on PBEsol structure" magnetic_moment_mub_per_cell=0.00 volume_a3_per_atom=13.1 e_form_raw_kj_per_mol_atoms=40.6 pbc="T T T"
Be 1.8266 1.8765 1.9056
Si 0.0000 1.8906 0.0150
Si 0.0000 -0.0141 1.8907
Al 1.8266 0.0000 0.0000



5
Lattice="-2.7767 0.3836 -4.7007 -2.1907 -4.9357 0.8912 -4.1767 2.3337 2.6576" Properties=species:S:1:pos:R:3 comment="HgBi3Pt meta-GGA SCAN single point on PBEsol structure" magnetic_moment_mub_per_cell=0.00 ef_ev_per_atom=1.28 volume_a3_per_atom=32.8 pbc="T T T"
Bi -1.0953 -2.4678 0.4456
Bi -2.0884 1.1669 1.3288
Bi -1.3884 0.1918 -2.3504
Pt -4.5721 -1.1092 -0.5759
Hg 0.0000 0.0000 0.0000